No. 1
ZrFe2Sb: single point on PBEsol structure, SCAN.

a = 5.6579 Å, b = 8.6101 Å, c = 2.9713 Å
α = 90.00°, β = 116.24°, γ = 90.00°
Closest atoms and distances in Å follow each position.
Space group C2/m (No. 12)
Asymmetric unit:
Zr  0.0000  0.0000  0.0000 (multiplicity 2)  4 Fe 2.64, 2 Sb 2.83
Fe  0.2500  0.2500  0.5000 (multiplicity 4)  2 Zr 2.64, 2 Sb 2.64, 2 Fe 2.83
Sb  0.0000  0.5000  0.0000 (multiplicity 2)  4 Fe 2.64, 2 Zr 2.83

No. 2
Zr5FeSb3: single point on PBEsol structure, SCAN.

a = 8.5438 Å, b = 8.5438 Å, c = 5.7173 Å
α = 90.00°, β = 90.00°, γ = 120.00°
Closest atoms and distances in Å follow each position.
Space group P6_3/mcm (No. 193)
Asymmetric unit:
Zr  0.0000  0.2517  0.2500 (multiplicity 6)  2 Fe 2.58
Zr  0.3333  0.6667  0.0000 (multiplicity 4)  2 Zr 2.86, 6 Sb 3.00
Fe  0.0000  0.0000  0.0000 (multiplicity 2)  6 Zr 2.58, 2 Fe 2.86
Sb  0.0000  0.3919  0.7500 (multiplicity 6)  9 Zr 2.94-3.10

No. 3
ZrFeSb2: single point on PBEsol structure, SCAN.

## Properties
offset from the most stable computed form: 0.051 eV per atom

a = 3.2609 Å, b = 3.2609 Å, c = 25.6537 Å
α = 90.00°, β = 90.00°, γ = 120.00°
Closest atoms and distances in Å follow each position.
Space group R-3m (No. 166, hexagonal axes)
Asymmetric unit:
Zr  0.0000  0.0000  0.0000 (multiplicity 3)  6 Sb 3.07, 6 Zr 3.26
Fe  0.0000  0.0000  0.5000 (multiplicity 3)  6 Sb 2.64
Sb  0.0000  0.0000  0.2387 (multiplicity 6)  3 Fe 2.64

No. 4
ZrFe4Sb: single point on PBEsol structure, SCAN.

a = 6.8837 Å, b = 6.8837 Å, c = 6.8837 Å
α = 90.00°, β = 90.00°, γ = 90.00°
Closest atoms and distances in Å follow each position.
Space group F-43m (No. 216)
Asymmetric unit:
Zr  0.0000  0.0000  0.0000 (multiplicity 4)  12 Fe 2.85, 4 Sb 2.98
Fe  0.1255  0.1255  0.3745 (multiplicity 16)  6 Fe 2.42-2.44
Sb  0.2500  0.2500  0.7500 (multiplicity 4)  12 Fe 2.85, 4 Zr 2.98

No. 5
Sc2Fe: single point on PBEsol structure, SCAN.

## Properties
calculated formation energy: 38 meV/atom

a = 3.1710 Å, b = 13.8713 Å, c = 4.7580 Å
α = 90.00°, β = 90.00°, γ = 90.00°
Closest atoms and distances in Å follow each position.
Space group Cmcm (No. 63)
Asymmetric unit:
Sc  0.0000  0.0698  0.2500 (multiplicity 4)  2 Fe 2.54
Sc  0.0000  0.2107  0.7500 (multiplicity 4)  2 Fe 2.48
Fe  0.0000  0.4265  0.2500 (multiplicity 4)  4 Sc 2.48-2.54

No. 6
Sc3Fe2: single point on PBEsol structure, SCAN.

## Properties
calculated formation energy: 259 meV/atom

a = 3.1016 Å, b = 3.1016 Å, c = 30.7984 Å
α = 90.00°, β = 90.00°, γ = 120.00°
Closest atoms and distances in Å follow each position.
Space group R-3m (No. 166, hexagonal axes)
Asymmetric unit:
Sc  0.0000  0.0000  0.0000 (multiplicity 3)  6 Fe 2.62
Sc  0.0000  0.0000  0.2141 (multiplicity 6)  3 Fe 2.51
Fe  0.0000  0.0000  0.3954 (multiplicity 6)  6 Sc 2.51-2.62

No. 7
Sc3Fe: single point on PBEsol structure, SCAN.

## Properties
calculated formation energy: -9 meV/atom

a = 3.0873 Å, b = 3.0873 Å, c = 8.0913 Å
α = 90.00°, β = 90.00°, γ = 90.00°
Closest atoms and distances in Å follow each position.
Space group P4/mmm (No. 123)
Asymmetric unit:
Sc  0.0000  0.0000  0.0000 (multiplicity 1)  12 Sc 3.09-3.37
Sc  0.5000  0.5000  0.3173 (multiplicity 2)  4 Fe 2.64
Fe  0.0000  0.0000  0.5000 (multiplicity 1)  8 Sc 2.64

No. 8
Sc3Fe: single point on PBEsol structure, SCAN.

## Properties
calculated formation energy: -10 meV/atom

a = 6.4918 Å, b = 8.2667 Å, c = 5.7366 Å
α = 90.00°, β = 90.00°, γ = 90.00°
Closest atoms and distances in Å follow each position.
Space group Pnma (No. 62)
Asymmetric unit:
Sc  0.0453  0.2500  0.1241 (multiplicity 4)  2 Fe 2.41-2.55
Sc  0.1773  0.0629  0.6693 (multiplicity 8)  2 Fe 2.55-2.69
Fe  0.1104  0.7500  0.4675 (multiplicity 4)  6 Sc 2.41-2.69

No. 9
Sc2Fe: single point on PBEsol structure, SCAN.

## Properties
calculated formation energy: -9 meV/atom

a = 3.0318 Å, b = 3.0318 Å, c = 24.2872 Å
α = 90.00°, β = 90.00°, γ = 90.00°
Closest atoms and distances in Å follow each position.
Space group I4_1/amd (No. 141, origin choice 2)
Asymmetric unit:
Sc  0.0000  0.2500  0.3137 (multiplicity 8)  4 Fe 2.61
Fe  0.0000  0.2500  0.8750 (multiplicity 4)  8 Sc 2.61

No. 10
ScFe5: single point on PBEsol structure, SCAN.

## Properties
calculated formation energy: -69 meV/atom

a = 6.6774 Å, b = 6.6774 Å, c = 6.6774 Å
α = 90.00°, β = 90.00°, γ = 90.00°
Closest atoms and distances in Å follow each position.
Space group F-43m (No. 216)
Asymmetric unit:
Sc  0.0000  0.0000  0.0000 (multiplicity 4)  16 Fe 2.77-2.89
Fe  0.1245  0.1245  0.3755 (multiplicity 16)  6 Fe 2.35-2.37
Fe  0.2500  0.2500  0.7500 (multiplicity 4)  12 Fe 2.77, 4 Sc 2.89

No. 11
Sc2Fe: single point on PBEsol structure, SCAN.

## Properties
calculated formation energy: 205 meV/atom

a = 3.1630 Å, b = 3.1630 Å, c = 6.4281 Å
α = 90.00°, β = 90.00°, γ = 120.00°
Closest atoms and distances in Å follow each position.
Space group P-3m1 (No. 164)
Asymmetric unit:
Sc  0.3333  0.6667  0.2747 (multiplicity 2)  3 Fe 2.54
Fe  0.0000  0.0000  0.0000 (multiplicity 1)  6 Sc 2.54

No. 12
Sc3Fe: single point on PBEsol structure, SCAN.

## Properties
calculated formation energy: 10 meV/atom

a = 3.2140 Å, b = 4.8148 Å, c = 9.7117 Å
α = 90.00°, β = 90.00°, γ = 90.00°
Closest atoms and distances in Å follow each position.
Space group Immm (No. 71)
Asymmetric unit:
Sc  0.0000  0.0000  0.0000 (multiplicity 2)  4 Fe 2.89, 6 Sc 3.08-3.21
Sc  0.0000  0.5000  0.1977 (multiplicity 4)  2 Fe 2.50
Fe  0.0000  0.0000  0.5000 (multiplicity 2)  4 Sc 2.50

Calculated energy in order - -1.9020 -2.3675 -2.2647 -1.7342 -1.1390 -1.1418 -1.1186 -1.1187 -1.1424 -1.2899 -1.1267 -1.1172 Ry per atom
Calculated spin magnetization in order - 9.1 3.1 8.9 36.0 0.0 5.5 1.0 0.0 0.0 45.1 0.5 0.1 μB/cell